# P2PbBrO, optimized geometry, DFT PBE
# energy above the lowest structure with this stoichiometry	0.08	eV per formula unit
# uncorrected formation energy	4.4	eV/f.u.
# crystal system	tetragonal
# density of states at the Fermi level	4.66	states/eV/f.u.
data_P2PbBrO
_chemical_formula_sum 'P2 Pb1 Br1 O1'
_cell_length_a 5.4146
_cell_length_b 5.4146
_cell_length_c 4.2149
_cell_angle_alpha 90.00
_cell_angle_beta 90.00
_cell_angle_gamma 90.00
_symmetry_space_group_name_H-M 'P 4/m m m'
_symmetry_Int_Tables_number 123
_symmetry_space_group_name_Hall '-P 4 2'
loop_
_atom_site_label
_atom_site_type_symbol
_atom_site_fract_x
_atom_site_fract_y
_atom_site_fract_z
P1 P 0.0000 0.5000 0.0000
Pb1 Pb 0.0000 0.0000 0.0000
Br1 Br 0.5000 0.5000 0.5000
O1 O 0.0000 0.0000 0.5000